# PBE-GGA Pm12DyY3, optimized geometry
# N(E_F) ... 24.22 states/eV/f.u.
# Space group ... P4/mmm
# Spin magnetization ... 0.00 μB per atom
# VASP energy ... -80.78 eV for the cell shown
data_Pm12DyY3
_chemical_formula_sum 'Pm12 Dy1 Y3'
_cell_length_a 5.135
_cell_length_b 5.135
_cell_length_c 20.496
_cell_angle_alpha 90.00
_cell_angle_beta 90.00
_cell_angle_gamma 90.00
_space_group_name_H-M_alt 'P 1'
_space_group_IT_number 1
loop_
_space_group_symop_operation_xyz
'x,y,z'
loop_
_atom_site_label
_atom_site_type_symbol
_atom_site_fract_x
_atom_site_fract_y
_atom_site_fract_z
Pm1 Pm 0.000 0.000 0.000
Pm2 Pm 0.000 0.000 0.250
Pm3 Pm 0.000 0.000 0.500
Pm4 Pm 0.000 0.000 0.750
Pm5 Pm 0.000 0.500 0.124
Pm6 Pm 0.000 0.500 0.375
Pm7 Pm 0.000 0.500 0.625
Pm8 Pm 0.000 0.500 0.876
Pm9 Pm 0.500 0.000 0.124
Pm10 Pm 0.500 0.000 0.375
Pm11 Pm 0.500 0.000 0.625
Pm12 Pm 0.500 0.000 0.876
Dy1 Dy 0.500 0.500 0.000
Y1 Y 0.500 0.500 0.250
Y2 Y 0.500 0.500 0.500
Y3 Y 0.500 0.500 0.750